[1]
VASP calculation (GGA-PBE) on PmPr2RuN4 after structural relaxation.

It has space group Cmcm (No. 63), with a = 3.509 Å, b = 12.059 Å, c = 12.225 Å, α = 90.00°, β = 90.00° and γ = 90.00°. The asymmetric unit holds Pm at (0.000, 0.123, 0.250), Pr at (0.000, 0.368, 0.043), Ru at (0.000, 0.148, 0.750), N at (0.000, 0.000, 0.000), N at (0.000, 0.274, 0.638) and N at (0.000, 0.431, 0.250).

The total moment is 0.00 Bohr magnetons per cell. For the density, the calculation gives 7.5 g cm⁻³. The energy relative to the elements, uncorrected comes out at -794 meV/atom.

***

[2]
VASP calculation (GGA-PBE) on HoNpC after structural relaxation.

It has space group Cmcm (No. 63), with a = 3.041 Å, b = 21.317 Å, c = 3.199 Å, α = 90.00°, β = 90.00° and γ = 90.00°. The asymmetric unit holds Ho at (0.000, 0.174, 0.250), Np at (0.000, 0.042, 0.250) and C at (0.000, 0.388, 0.250).

The total moment is 0.00 Bohr magnetons per cell. The formation energy is 0.37 eV per atom. For the density, the calculation gives 13.3 g cm⁻³. As for the distance to the lowest polymorph of the same formula: 29.3 kJ per mole of atoms.

***

[3]
VASP calculation (GGA-PBE) on Ti4TcIr after structural relaxation.

It has space group R-3m (No. 166, hexagonal axes), with a = 4.3260 Å, b = 4.3260 Å, c = 20.4316 Å, α = 90.00°, β = 90.00° and γ = 120.00°. The asymmetric unit holds Ti at (0.0000, 0.0000, 0.1238), Ti at (0.0000, 0.0000, 0.3740), Tc at (0.0000, 0.0000, 0.0000) and Ir at (0.0000, 0.0000, 0.5000).

The total moment is 0.00 Bohr magnetons per cell. The formation energy is -0.18 eV per atom. For the density, the calculation gives 7.2 g cm⁻³. As for the distance to the lowest polymorph of the same formula: 32.8 kJ per mole of atoms.

***

[4]
VASP calculation (GGA-PBE) on La2MgBePt6 after structural relaxation.

It has space group C2/m (No. 12), with a = 10.020 Å, b = 5.779 Å, c = 7.577 Å, α = 90.00°, β = 116.24° and γ = 90.00°. The asymmetric unit holds La at (0.220, 0.000, 0.162), Mg at (0.000, 0.500, 0.000), Be at (0.000, 0.000, 0.500), Pt at (0.020, 0.259, 0.301) and Pt at (0.239, 0.000, 0.698).

The total moment is 0.00 Bohr magnetons per cell. The formation energy is -0.85 eV per atom. For the density, the calculation gives 12.5 g cm⁻³.

***

[5]
VASP calculation (GGA-PBE) on Li2Ni2S3 after structural relaxation.

It has space group C2/c (No. 15), with a = 13.077 Å, b = 11.923 Å, c = 6.378 Å, α = 90.00°, β = 117.94° and γ = 90.00°. The asymmetric unit holds Li at (0.000, 0.063, 0.250), Li at (0.000, 0.223, 0.750), Li at (0.125, 0.419, 0.078), Ni at (0.180, 0.242, 0.603), Ni at (0.199, 0.083, 0.110), S at (0.108, 0.390, 0.684), S at (0.131, 0.223, 0.225) and S at (0.153, 0.076, 0.730).

The total moment is 0.00 Bohr magnetons per cell. For the density, the calculation gives 3.4 g cm⁻³. The energy relative to the elements, uncorrected comes out at -690 meV/atom.

***

[6]
VASP calculation (GGA-PBE) on BaYInSe2 after structural relaxation.

It has space group P4/mmm (No. 123), with a = 5.531 Å, b = 5.531 Å, c = 5.758 Å, α = 90.00°, β = 90.00° and γ = 90.00°. The asymmetric unit holds Ba at (0.000, 0.000, 0.000), Y at (0.500, 0.500, 0.500), In at (0.500, 0.500, 0.000) and Se at (0.000, 0.500, 0.500).

The total moment is 0.00 Bohr magnetons per cell. For the density, the calculation gives 4.7 g cm⁻³. The energy relative to the elements, uncorrected comes out at -986 meV/atom.